1:
The following is a PBE with a Hubbard U calculation of crystalline NpMn3O6 at its relaxed geometry, from the Alexandria database.

Structure (POSCAR):
```
NpMn3O6
1.0
5.468 0.000 0.000
0.000 5.587 0.000
-5.436 0.000 8.130
Np Mn O
2 6 12
Direct
0.000 0.000 0.000
0.000 0.500 0.500
0.259 0.040 0.758
0.259 0.460 0.258
0.500 0.000 0.500
0.500 0.500 0.000
0.741 0.540 0.742
0.741 0.960 0.242
0.085 0.188 0.420
0.085 0.312 0.920
0.262 0.674 0.440
0.262 0.826 0.940
0.371 0.087 0.242
0.371 0.413 0.742
0.629 0.587 0.258
0.629 0.913 0.758
0.738 0.174 0.060
0.738 0.326 0.560
0.915 0.688 0.080
0.915 0.812 0.580
```

## Properties
**Magnetic moment**: 16.0 μB/f.u.



2:
The following is a PBE with a Hubbard U calculation of crystalline NpMn3O6 at its relaxed geometry, from the Alexandria database.

Structure (POSCAR):
```
NpMn3O6
1.0
4.673 2.698 3.862
-4.673 2.698 3.862
0.000 -5.396 3.862
Np Mn O
2 6 12
Direct
0.000 0.000 0.000
0.500 0.500 0.500
0.024 0.750 0.476
0.250 0.524 0.976
0.476 0.024 0.750
0.524 0.976 0.250
0.750 0.476 0.024
0.976 0.250 0.524
0.019 0.310 0.963
0.037 0.981 0.690
0.190 0.480 0.537
0.310 0.963 0.019
0.463 0.810 0.519
0.481 0.537 0.190
0.519 0.463 0.810
0.537 0.190 0.481
0.690 0.037 0.981
0.810 0.519 0.463
0.963 0.019 0.310
0.981 0.690 0.037
```

## Properties
**Magnetic moment**: 16.0 μB/f.u.



The energy of each structure relative to the most stable one, in meV/atom, is as follows: 1 0; 2 56.